Crystalline RbYVO4 at its relaxed geometry, computed with GGA+U.

Unit cell a=5.9566 b=5.9745 c=7.6886 alpha=90.00 beta=108.17 gamma=90.00
Closest atoms and distances in Å follow each position.
Sites, in units of the cell vectors:
O1 0.5357 0.2500 0.7957  1 V 1.78
O2 0.9503 0.0271 0.6667  1 V 1.90
O3 0.4643 0.7500 0.2043  1 V 1.78
O4 0.9503 0.4729 0.6667  1 V 1.90
O5 0.0497 0.9729 0.3333  1 V 1.90
O6 0.0497 0.5271 0.3333  1 V 1.90
O7 0.5169 0.2500 0.4286  1 V 1.74
O8 0.4831 0.7500 0.5714  1 V 1.74
V1 0.2840 0.7500 0.3506  4 O 1.74-1.90
V2 0.7160 0.2500 0.6494  4 O 1.74-1.90
Rb1 0.2840 0.2500 0.0582  2 O 2.75-2.87
Rb2 0.7160 0.7500 0.9418  2 O 2.75-2.87
Y1 0.1797 0.2500 0.5387  6 O 2.25-2.41
Y2 0.8203 0.7500 0.4613  6 O 2.25-2.41

Results
- M_tot: 1.000 μB/f.u.
- E_tot: -7.394 eV per atom